# 1
{"formula": "GeBr2O", "functional": "GGA-PBE", "state": "relaxed", "dft_energy_ev_per_cell": -11.3, "sg": "Fm-3m", "raw_formation_energy_ev_per_atom": 0.42, "lattice_angstrom": [[0.000, 3.461, 3.461], [3.461, 0.000, 3.461], [3.461, 3.461, 0.000]], "species": ["Ge", "Br", "Br", "O"], "fractional_positions": [[0.000, 0.000, 0.000], [0.250, 0.250, 0.250], [0.750, 0.750, 0.750], [0.500, 0.500, 0.500]]}

***

# 2
{"formula": "RePbIN2", "functional": "GGA-PBE", "state": "relaxed", "dft_energy_ev_per_cell": -29.9, "sg": "P4/mmm", "raw_formation_energy_ev_per_atom": 0.89, "lattice_angstrom": [[4.124, 0.000, 0.000], [0.000, 4.124, 0.000], [0.000, 0.000, 5.564]], "species": ["Re", "Pb", "I", "N", "N"], "fractional_positions": [[0.000, 0.000, 0.000], [0.500, 0.500, 0.500], [0.000, 0.000, 0.500], [0.000, 0.500, 0.000], [0.500, 0.000, 0.000]]}

***

# 3
{"formula": "KRb2Tl6In", "functional": "GGA-PBE", "state": "relaxed", "dft_energy_ev_per_cell": -39.9, "sg": "R-3m", "formation_energy_mev_per_atom": 0, "lattice_angstrom": [[4.035, 2.330, 15.075], [-4.035, 2.330, 15.075], [0.000, -4.659, 15.075]], "species": ["K", "K", "Rb", "Rb", "Rb", "Rb", "Tl", "Tl", "Tl", "Tl", "Tl", "Tl", "Tl", "Tl", "Tl", "Tl", "Tl", "Tl", "In", "In"], "fractional_positions": [[0.076, 0.076, 0.076], [0.924, 0.924, 0.924], [0.223, 0.223, 0.223], [0.394, 0.394, 0.394], [0.606, 0.606, 0.606], [0.777, 0.777, 0.777], [0.128, 0.724, 0.724], [0.178, 0.178, 0.569], [0.178, 0.569, 0.178], [0.276, 0.276, 0.872], [0.276, 0.872, 0.276], [0.431, 0.822, 0.822], [0.569, 0.178, 0.178], [0.724, 0.128, 0.724], [0.724, 0.724, 0.128], [0.822, 0.431, 0.822], [0.822, 0.822, 0.431], [0.872, 0.276, 0.276], [0.000, 0.000, 0.000], [0.500, 0.500, 0.500]]}

***

# 4
{"formula": "AlAgPdPt", "functional": "GGA-PBE", "state": "relaxed", "dft_energy_ev_per_cell": -19.8, "sg": "F-43m", "formation_energy_mev_per_atom": -484, "lattice_angstrom": [[0.000, 3.150, 3.150], [3.150, 0.000, 3.150], [3.150, 3.150, 0.000]], "species": ["Al", "Ag", "Pd", "Pt"], "fractional_positions": [[0.000, 0.000, 0.000], [0.500, 0.500, 0.500], [0.250, 0.250, 0.250], [0.750, 0.750, 0.750]]}

***

# 5
{"formula": "RbYPb2", "functional": "GGA-PBE", "state": "relaxed", "dft_energy_ev_per_cell": -15.0, "sg": "Fm-3m", "formation_energy_mev_per_atom": -43, "lattice_angstrom": [[0.000, 4.063, 4.063], [4.063, 0.000, 4.063], [4.063, 4.063, 0.000]], "species": ["Rb", "Y", "Pb", "Pb"], "fractional_positions": [[0.000, 0.000, 0.000], [0.500, 0.500, 0.500], [0.250, 0.250, 0.250], [0.750, 0.750, 0.750]]}

***

# 6
{"formula": "Sr3TiC2N6", "functional": "GGA-PBE", "state": "relaxed", "dft_energy_ev_per_cell": -89.7, "sg": "P-3m1", "raw_formation_energy_ev_per_atom": -0.70, "lattice_angstrom": [[5.370, 0.000, 0.000], [-2.685, 4.650, 0.000], [0.000, 0.000, 6.461]], "species": ["Sr", "Sr", "Sr", "Ti", "C", "C", "N", "N", "N", "N", "N", "N"], "fractional_positions": [[0.000, 0.000, 0.000], [0.333, 0.667, 0.692], [0.667, 0.333, 0.308], [0.000, 0.000, 0.500], [0.333, 0.667, 0.293], [0.667, 0.333, 0.707], [0.185, 0.370, 0.300], [0.185, 0.815, 0.300], [0.370, 0.185, 0.700], [0.630, 0.815, 0.300], [0.815, 0.185, 0.700], [0.815, 0.630, 0.700]]}

***

# 7
{"formula": "PuInF2", "functional": "GGA-PBE", "state": "relaxed", "dft_energy_ev_per_cell": -27.9, "sg": "R-3m", "raw_formation_energy_ev_per_atom": -1.77, "lattice_angstrom": [[1.710, 0.987, 8.714], [-1.710, 0.987, 8.714], [0.000, -1.974, 8.714]], "species": ["Pu", "In", "F", "F"], "fractional_positions": [[0.000, 0.000, 0.000], [0.500, 0.500, 0.500], [0.083, 0.083, 0.083], [0.917, 0.917, 0.917]]}

***

# 8
{"formula": "ICl4F", "functional": "GGA-PBE", "state": "relaxed", "dft_energy_ev_per_cell": -11.7, "sg": "C2", "raw_formation_energy_ev_per_atom": -0.14, "lattice_angstrom": [[6.005, -3.715, 0.000], [6.005, 3.715, 0.000], [-5.760, 0.000, 6.043]], "species": ["I", "Cl", "Cl", "Cl", "Cl", "F"], "fractional_positions": [[0.000, 0.000, 0.000], [0.017, 0.980, 0.291], [0.020, 0.983, 0.709], [0.376, 0.150, 0.263], [0.850, 0.624, 0.737], [0.584, 0.416, 0.500]]}

***

# 9
{"formula": "ThMgInGa", "functional": "GGA-PBE", "state": "relaxed", "dft_energy_ev_per_cell": -15.6, "sg": "F-43m", "formation_energy_mev_per_atom": -216, "lattice_angstrom": [[0.000, 3.656, 3.656], [3.656, 0.000, 3.656], [3.656, 3.656, 0.000]], "species": ["Th", "Mg", "In", "Ga"], "fractional_positions": [[0.000, 0.000, 0.000], [0.500, 0.500, 0.500], [0.750, 0.750, 0.750], [0.250, 0.250, 0.250]]}

***

# 10
{"formula": "Cr4PbS8", "functional": "GGA-PBE", "state": "relaxed", "dft_energy_ev_per_cell": -83.4, "sg": "C2/m", "raw_formation_energy_ev_per_atom": -0.63, "lattice_angstrom": [[5.922, -3.410, 0.000], [5.922, 3.410, 0.000], [-5.654, 0.000, 6.976]], "species": ["Cr", "Cr", "Cr", "Cr", "Pb", "S", "S", "S", "S", "S", "S", "S", "S"], "fractional_positions": [[0.228, 0.772, 0.000], [0.238, 0.238, 0.988], [0.762, 0.762, 0.012], [0.772, 0.228, 0.000], [0.500, 0.500, 0.500], [0.011, 0.505, 0.192], [0.017, 0.017, 0.208], [0.495, 0.989, 0.808], [0.497, 0.497, 0.169], [0.503, 0.503, 0.831], [0.505, 0.011, 0.192], [0.983, 0.983, 0.792], [0.989, 0.495, 0.808]]}

***

# 11
{"formula": "TaCrAs2", "functional": "GGA-PBE", "state": "relaxed", "dft_energy_ev_per_cell": -30.9, "sg": "P2/m", "formation_energy_mev_per_atom": -44, "lattice_angstrom": [[3.257, 0.000, 0.000], [0.000, 3.298, 0.000], [-1.155, 0.000, 6.286]], "species": ["Ta", "Cr", "As", "As"], "fractional_positions": [[0.000, 0.000, 0.000], [0.000, 0.000, 0.500], [0.414, 0.500, 0.763], [0.586, 0.500, 0.237]]}

***

# 12
{"formula": "Ca2PmPr2", "functional": "GGA-PBE", "state": "relaxed", "dft_energy_ev_per_cell": -16.6, "sg": "I4/mmm", "formation_energy_mev_per_atom": 349, "lattice_angstrom": [[-2.358, 2.358, 8.746], [2.358, -2.358, 8.746], [2.358, 2.358, -8.746]], "species": ["Ca", "Ca", "Pm", "Pr", "Pr"], "fractional_positions": [[0.250, 0.750, 0.500], [0.750, 0.250, 0.500], [0.000, 0.000, 0.000], [0.411, 0.411, 0.000], [0.589, 0.589, 0.000]]}